Computed, not measured: crystalline Be2FeF at its relaxed geometry at the GGA+U level of DFT.

Structure (POSCAR):
```
Be2FeF
1.0
-0.162 -0.097 3.920
-3.473 -0.210 1.816
-1.056 -3.302 1.839
Be Fe F
2 1 1
direct
0.750 0.750 0.750
0.250 0.250 0.250
0.500 0.500 0.500
0.000 0.000 0.000
```

Output
- calculated volume (Å³/f.u.) = 43
- E above lowest polymorph (meV/atom) = 575